[1]
Dy2Ho6Tl | PBE | optimized geometry

a = 4.866 Å, b = 10.568 Å, c = 10.569 Å
α = 90.00°, β = 90.00°, γ = 90.00°
Fractional coordinates of all 18 atoms:
Dy: 0.000 0.338 0.837
Dy: 0.500 0.838 0.662
Dy: 0.500 0.162 0.338
Dy: 0.000 0.662 0.163
Ho: 0.000 0.000 0.164
Ho: 0.000 0.664 0.500
Ho: 0.000 0.662 0.838
Ho: 0.500 0.162 0.662
Ho: 0.500 0.164 0.000
Ho: 0.500 0.500 0.336
Ho: 0.000 0.000 0.836
Ho: 0.000 0.336 0.500
Ho: 0.000 0.338 0.162
Ho: 0.500 0.838 0.338
Ho: 0.500 0.836 0.000
Ho: 0.500 0.500 0.664
Tl: 0.500 0.500 0.000
Tl: 0.000 0.000 0.500

Calculated values
D(E_F) = 13.88 states/eV/f.u.
Relative energy among the computed polymorphs = 0.022 eV per atom
ΔE_f = -0.04 eV/atom
Space-group type = P4_2/mnm (136)
Total energy = -78.75 eV/cell

=====

[2]
Dy5Ho4Tl | PBE | optimized geometry

a = 3.544 Å, b = 3.544 Å, c = 24.355 Å
α = 90.00°, β = 90.00°, γ = 90.00°
Fractional coordinates of all 10 atoms:
Dy: 0.500 0.500 0.089
Dy: 0.500 0.500 0.295
Dy: 0.500 0.500 0.500
Dy: 0.500 0.500 0.705
Dy: 0.500 0.500 0.911
Ho: 0.000 0.000 0.192
Ho: 0.000 0.000 0.397
Ho: 0.000 0.000 0.603
Ho: 0.000 0.000 0.808
Tl: 0.000 0.000 0.000

Calculated values
D(E_F) = 12.98 states/eV/f.u.
Relative energy among the computed polymorphs = 0.000 eV per atom
ΔE_f = -0.05 eV/atom
Space-group type = P4/mmm (123)
Total energy = -44.21 eV/cell

=====

[3]
DyHo5Tl3 | PBE | optimized geometry

a = 6.699 Å, b = 9.340 Å, c = 9.338 Å
α = 120.01°, β = 90.00°, γ = 90.00°
Fractional coordinates of all 18 atoms:
Dy: 0.000 0.000 0.000
Dy: 0.500 0.000 0.000
Ho: 0.000 0.667 0.333
Ho: 0.500 0.333 0.667
Ho: 0.000 0.333 0.667
Ho: 0.500 0.667 0.333
Ho: 0.750 0.667 0.667
Ho: 0.750 0.000 0.333
Ho: 0.750 0.333 0.000
Ho: 0.250 0.333 0.333
Ho: 0.250 0.000 0.667
Ho: 0.250 0.667 0.000
Tl: 0.750 0.334 0.334
Tl: 0.750 0.000 0.666
Tl: 0.750 0.666 0.000
Tl: 0.250 0.666 0.666
Tl: 0.250 0.000 0.334
Tl: 0.250 0.334 0.000

Calculated values
D(E_F) = 10.87 states/eV/f.u.
ΔE_f = -0.25 eV/atom
Space-group type = P6_3/mcm (193)
Total energy = -73.77 eV/cell

=====

[4]
DyHo2Tl2 | PBE | optimized geometry

a = 3.754 Å, b = 5.366 Å, c = 14.082 Å
α = 90.00°, β = 97.69°, γ = 90.00°
Fractional coordinates of all 10 atoms:
Dy: 0.851 0.750 0.701
Dy: 0.149 0.250 0.299
Ho: 0.049 0.750 0.099
Ho: 0.951 0.250 0.901
Ho: 0.238 0.750 0.476
Ho: 0.762 0.250 0.524
Tl: 0.644 0.750 0.290
Tl: 0.356 0.250 0.710
Tl: 0.451 0.750 0.902
Tl: 0.549 0.250 0.098

Calculated values
D(E_F) = 4.97 states/eV/f.u.
Relative energy among the computed polymorphs = 0.004 eV per atom
ΔE_f = -0.27 eV/atom
Space-group type = P2_1/m (11)
Total energy = -39.72 eV/cell

=====

[5]
DyHo6Tl | PBE | optimized geometry

a = 6.298 Å, b = 6.298 Å, c = 9.705 Å
α = 121.02°, β = 121.02°, γ = 95.86°
Fractional coordinates of all 8 atoms:
Dy: 0.500 0.500 0.500
Ho: 0.042 0.042 0.701
Ho: 0.745 0.367 0.221
Ho: 0.958 0.958 0.299
Ho: 0.633 0.255 0.779
Ho: 0.255 0.633 0.779
Ho: 0.367 0.745 0.221
Tl: 0.000 0.000 0.000

Calculated values
D(E_F) = 10.58 states/eV/f.u.
Relative energy among the computed polymorphs = 0.095 eV per atom
ΔE_f = 0.02 eV/atom
Space-group type = C2/m (12)
Total energy = -34.26 eV/cell

=====

[6]
Dy3Ho5Tl | PBE | optimized geometry

a = 8.232 Å, b = 8.232 Å, c = 12.884 Å
α = 60.77°, β = 60.77°, γ = 86.63°
Fractional coordinates of all 18 atoms:
Dy: 0.686 0.686 0.814
Dy: 0.668 0.668 0.328
Dy: 0.000 0.000 0.000
Dy: 0.000 0.000 0.500
Dy: 0.314 0.314 0.186
Dy: 0.332 0.332 0.672
Ho: 0.867 0.348 0.208
Ho: 0.268 0.732 0.000
Ho: 0.680 0.680 0.057
Ho: 0.343 0.343 0.407
Ho: 0.657 0.657 0.593
Ho: 0.320 0.320 0.943
Ho: 0.348 0.867 0.208
Ho: 0.732 0.268 0.000
Ho: 0.133 0.652 0.792
Ho: 0.652 0.133 0.792
Tl: 0.038 0.038 0.730
Tl: 0.962 0.962 0.270

Calculated values
D(E_F) = 14.24 states/eV/f.u.
ΔE_f = 0.39 eV/atom
Space-group type = C2/m (12)
Total energy = -71.04 eV/cell

=====

[7]
Dy3Ho2Tl4 | PBE | optimized geometry

a = 4.836 Å, b = 6.667 Å, c = 9.505 Å
α = 117.74°, β = 104.75°, γ = 90.00°
Fractional coordinates of all 9 atoms:
Dy: 0.109 0.635 0.219
Dy: 0.891 0.365 0.781
Dy: 0.000 0.000 0.000
Ho: 0.671 0.277 0.343
Ho: 0.329 0.723 0.657
Tl: 0.511 0.738 0.021
Tl: 0.253 0.169 0.506
Tl: 0.489 0.262 0.979
Tl: 0.747 0.831 0.494

Calculated values
D(E_F) = 7.49 states/eV/f.u.
Relative energy among the computed polymorphs = 0.000 eV per atom
ΔE_f = -0.27 eV/atom
Space-group type = C2/m (12)
Total energy = -34.87 eV/cell

=====

[8]
Dy2HoTl | PBE | optimized geometry

a = 3.551 Å, b = 3.551 Å, c = 11.226 Å
α = 80.90°, β = 80.90°, γ = 60.00°
Fractional coordinates of all 4 atoms:
Tl: 0.000 0.000 0.000
Ho: 0.500 0.500 0.500
Dy: 0.253 0.253 0.241
Dy: 0.747 0.747 0.759

Calculated values
D(E_F) = 4.17 states/eV/f.u.
Relative energy among the computed polymorphs = 0.082 eV per atom
ΔE_f = -0.11 eV/atom
Space-group type = R-3m (166)
Total energy = -16.57 eV/cell